# BaPdBr4

A geometry-optimized BaPdBr4 structure (PBE, Alexandria via LeMat-Bulk).

a b c (Å): 8.974 7.017 14.127
angles (deg): 90.00 96.17 90.00
Space group C2/c (No. 15)
Asymmetric unit:
Ba 0.250 0.250 0.000 x4
Pd 0.000 0.232 0.250 x4
Br 0.081 0.234 0.424 x8
Br 0.230 0.270 0.775 x8

Calculated volume (Å³ per atom): 36.85
E (eV per cell): -82.5
Size of the total moment (μB per atom): 0.00
Excess energy over the best structure of this formula in the dataset (eV per atom): 0.0965
ΔE_f (raw) (eV per atom): -1.135